Computed, not measured: an optimized crystal structure of IrPt8 at the GGA-PBE level of DFT.

Lattice parameters (Å, degrees): 6.2632 6.2632 8.4017 47.88 47.88 84.25
Last column: nearest neighbours and their distance in Å.
Sites, in units of the cell vectors:
Pt 0.0000 0.0000 0.6683  1 Ir 2.79, 11 Pt 2.80-2.83
Pt 0.3350 0.6650 0.3350  10 Pt 2.77-2.83, 2 Ir 2.79
Pt 0.6683 0.3317 0.0000  1 Ir 2.79, 11 Pt 2.80-2.83
Pt 0.0000 0.0000 0.3317  1 Ir 2.79, 11 Pt 2.80-2.83
Ir 0.0000 0.0000 0.0000  12 Pt 2.79
Pt 0.3350 0.6650 0.6650  10 Pt 2.77-2.83, 2 Ir 2.79
Pt 0.3317 0.6683 0.0000  1 Ir 2.79, 11 Pt 2.80-2.83
Pt 0.6650 0.3350 0.3350  10 Pt 2.77-2.83, 2 Ir 2.79
Pt 0.6650 0.3350 0.6650  10 Pt 2.77-2.83, 2 Ir 2.79

Calculated values
Its energy above the lowest structure with this stoichiometry is 0 meV/atom. Its total energy is -6.33 eV/atom. The total magnetization is 0.0001 μB per atom.

***

Computed, not measured: an optimized crystal structure of Ir3Pt at the GGA-PBE level of DFT.

Lattice parameters (Å, degrees): 4.4241 4.4241 4.4241 60.00 60.00 60.00
Last column: nearest neighbours and their distance in Å.
Sites, in units of the cell vectors:
Ir 0.0000 0.0000 0.0000  4 Ir 2.71, 4 Pt 2.71
Pt 0.2500 0.2500 0.2500  8 Ir 2.71
Ir 0.5000 0.5000 0.5000  4 Pt 2.71, 4 Ir 2.71
Ir 0.7500 0.7500 0.7500  8 Ir 2.71

Calculated values
Its total energy is -7.63 eV/atom. The total magnetization is 0.3874 μB per atom.

***

Computed, not measured: an optimized crystal structure of IrPt at the GGA-PBE level of DFT.

Lattice parameters (Å, degrees): 2.7570 5.2133 4.4600 90.00 90.00 74.67
Last column: nearest neighbours and their distance in Å.
Sites, in units of the cell vectors:
Ir 0.4311 0.1378 0.7500  4 Ir 2.63-2.76, 7 Pt 2.63-2.81
Pt 0.1692 0.6615 0.7500  7 Ir 2.63-2.81, 2 Pt 2.76
Pt 0.8308 0.3385 0.2500  7 Ir 2.63-2.81, 2 Pt 2.76
Ir 0.5689 0.8622 0.2500  4 Ir 2.63-2.76, 7 Pt 2.63-2.81

Calculated values
Its total energy is -7.23 eV/atom. The total magnetization is 0.0000 μB per atom.

***

Computed, not measured: an optimized crystal structure of IrPt at the GGA-PBE level of DFT.

Lattice parameters (Å, degrees): 7.7565 7.7565 7.7565 90.00 90.00 90.00
Last column: nearest neighbours and their distance in Å.
Sites, in units of the cell vectors:
Pt 0.6608 0.3392 0.6608  4 Ir 2.44-2.47
Pt 0.6608 0.6608 0.3392  4 Ir 2.44-2.47
Pt 0.3392 0.6608 0.6608  4 Ir 2.44-2.47
Pt 0.8392 0.1608 0.1608  4 Ir 2.44-2.47
Ir 0.6574 0.6574 0.6574  4 Pt 2.44-2.47
Pt 0.1608 0.8392 0.1608  4 Ir 2.44-2.47
Ir 0.1574 0.1574 0.1574  4 Pt 2.44-2.47
Ir 0.3426 0.6574 0.3426  4 Pt 2.44-2.47
Ir 0.6574 0.3426 0.3426  4 Pt 2.44-2.47
Pt 0.1608 0.1608 0.8392  4 Ir 2.44-2.47
Ir 0.1574 0.8426 0.8426  4 Pt 2.44-2.47
Ir 0.8426 0.8426 0.1574  4 Pt 2.44-2.47
Ir 0.8426 0.1574 0.8426  4 Pt 2.44-2.47
Pt 0.3392 0.3392 0.3392  4 Ir 2.44-2.47
Ir 0.3426 0.3426 0.6574  4 Pt 2.44-2.47
Pt 0.8392 0.8392 0.8392  4 Ir 2.44-2.47

Calculated values
Its total energy is -6.17 eV/atom. The total magnetization is 0.0000 μB per atom.

***

Computed, not measured: an optimized crystal structure of Ir2Pt at the GGA-PBE level of DFT.

Lattice parameters (Å, degrees): 4.6904 4.6904 4.6904 137.98 137.98 60.93
Last column: nearest neighbours and their distance in Å.
Sites, in units of the cell vectors:
Ir 0.6706 0.6706 0.0000  5 Pt 2.66-2.75, 5 Ir 2.70-2.76
Pt 0.0000 0.0000 0.0000  10 Ir 2.66-2.75
Ir 0.3294 0.3294 0.0000  5 Pt 2.66-2.75, 5 Ir 2.70-2.76

Calculated values
Its energy above the lowest structure with this stoichiometry is 194 meV/atom. Its total energy is -7.70 eV/atom. The total magnetization is 0.0000 μB per atom.

***

Computed, not measured: an optimized crystal structure of Ir2Pt at the GGA-PBE level of DFT.

Lattice parameters (Å, degrees): 5.2977 5.2977 5.2977 122.32 122.32 86.03
Last column: nearest neighbours and their distance in Å.
Sites, in units of the cell vectors:
Ir 0.6814 0.1814 0.8628  5 Ir 2.62-2.65, 4 Pt 2.69
Ir 0.8186 0.6814 0.5000  5 Ir 2.62-2.65, 4 Pt 2.69
Pt 0.2500 0.2500 0.0000  8 Ir 2.69
Ir 0.1814 0.3186 0.5000  5 Ir 2.62-2.65, 4 Pt 2.69
Pt 0.7500 0.7500 0.0000  8 Ir 2.69
Ir 0.3186 0.8186 0.1372  5 Ir 2.62-2.65, 4 Pt 2.69

Calculated values
Its energy above the lowest structure with this stoichiometry is 380 meV/atom. Its total energy is -7.51 eV/atom. The total magnetization is 0.0000 μB per atom.

***

Computed, not measured: an optimized crystal structure of Ir2Pt at the GGA-PBE level of DFT.

Lattice parameters (Å, degrees): 2.7609 2.7609 6.7732 90.00 90.00 120.00
Last column: nearest neighbours and their distance in Å.
Sites, in units of the cell vectors:
Ir 0.3333 0.6667 0.6735  9 Ir 2.69-2.76, 3 Pt 2.80
Pt 0.6667 0.3333 0.3333  6 Pt 2.76, 6 Ir 2.80
Ir 0.0000 0.0000 0.9931  9 Ir 2.69-2.76, 3 Pt 2.80

Calculated values
Its energy above the lowest structure with this stoichiometry is 0 meV/atom. Its total energy is -7.89 eV/atom. The total magnetization is 0.0000 μB per atom.

***

Computed, not measured: an optimized crystal structure of Ir2Pt at the GGA-PBE level of DFT.

Lattice parameters (Å, degrees): 6.0773 6.0773 6.0773 90.00 90.00 90.00
Last column: nearest neighbours and their distance in Å.
Sites, in units of the cell vectors:
Ir 0.8878 0.3878 0.1122  1 Ir 2.36, 3 Pt 2.55
Ir 0.3878 0.1122 0.8878  1 Ir 2.36, 3 Pt 2.55
Ir 0.1122 0.6122 0.8878  1 Ir 2.36, 3 Pt 2.55
Pt 0.5000 0.0000 0.5000  6 Ir 2.55
Pt 0.5000 0.5000 0.0000  6 Ir 2.55
Ir 0.1122 0.8878 0.3878  1 Ir 2.36, 3 Pt 2.55
Ir 0.3878 0.3878 0.3878  1 Ir 2.36, 3 Pt 2.55
Ir 0.6122 0.6122 0.6122  1 Ir 2.36, 3 Pt 2.55
Ir 0.6122 0.8878 0.1122  1 Ir 2.36, 3 Pt 2.55
Pt 0.0000 0.5000 0.5000  6 Ir 2.55
Pt 0.0000 0.0000 0.0000  6 Ir 2.55
Ir 0.8878 0.1122 0.6122  1 Ir 2.36, 3 Pt 2.55

Calculated values
Its energy above the lowest structure with this stoichiometry is 954 meV/atom. Its total energy is -6.94 eV/atom. The total magnetization is 0.0001 μB per atom.

***

| no. | DFT formation energy (kJ per mole of atoms) |
| --- | --- |
| 1 | 2.2 |
| 2 | 50.4 |
| 3 | 21.7 |
| 4 | 123.7 |
| 5 | 21.7 |
| 6 | 39.6 |
| 7 | 3.0 |
| 8 | 95.0 |